Entry 1:
Here is a geometry-optimized UTiV2 structure from the Alexandria database. Energies are from GGA-PBE.

Summary:
**Magnetic moment**: 0.18 μB per formula unit
**V**: 66.49 Å³/f.u.
**Symmetry**: R-3m, No. 166
**Calculated total energy**: -8.939 eV per atom

```
4
Lattice="3.0653 0.0000 0.0000 1.5327 2.6546 0.0000 1.5327 0.8849 8.1715" Properties=species:S:1:pos:R:3 pbc="T T T"
Ti 3.0653 1.7698 4.0858
U 0.0000 0.0000 0.0000
V 1.5327 0.8849 1.9939
V 4.5980 2.6546 6.1777
```

---

Entry 2:
Here is a geometry-optimized Dy2Hg3Pt structure from the Alexandria database. Energies are from GGA-PBE.

Summary:
**Magnetic moment**: 0.00 μB per formula unit
**V**: 140.86 Å³/f.u.
**Symmetry**: Pmm2, No. 25
**Calculated total energy**: -3.272 eV per atom

```
6
Lattice="3.4550 0.0000 0.0000 0.0000 4.8391 0.0000 0.0000 0.0000 8.4249" Properties=species:S:1:pos:R:3 pbc="T T T"
Dy 0.0000 2.4195 0.3867
Dy 0.0000 0.0000 3.9710
Hg 1.7275 0.0000 6.9866
Hg 1.7275 0.0000 1.3844
Hg 1.7275 2.4195 5.5561
Pt 1.7275 2.4195 2.7776
```